First-principles (GGA-PBE) data for PmYEr2 after structural relaxation, as listed in the Alexandria database.

Summary:
Energy of formation   0.02 eV/atom
Energy   -5.06 eV/atom
D(E_F)   5.66 states/eV per cell

a b c (Å): 3.562 3.562 10.061
angles (deg): 90.00 90.00 90.00
Space group P4/mmm (No. 123)
One atom of each set of equivalent atoms:
Pm: 0.000 0.000 0.000
Y: 0.000 0.000 0.500
Er: 0.500 0.500 0.252